(1)
Entry from OQMD via LeMat-Bulk: a relaxed YCdCuBi crystal (PBE).

a b c (Å): 5.1134 5.1134 5.1134
angles (deg): 60.00 60.00 60.00
With the nearest neighbours (Å) after each atom.
Positions (direct):
Y 0.0000 0.0000 0.0000  4 Cd 3.13, 4 Bi 3.13
Cd 0.7500 0.7500 0.7500  4 Cu 3.13, 4 Y 3.13
Cu 0.5000 0.5000 0.5000  4 Cd 3.13, 4 Bi 3.13
Bi 0.2500 0.2500 0.2500  4 Cu 3.13, 4 Y 3.13

Results
* magnetization: 0.001 μB/f.u.
* calculated total energy: -15.369 eV/f.u.
* E above lowest polymorph: 0.029 eV per atom


(2)
Entry from OQMD via LeMat-Bulk: a relaxed LiLu2Ir crystal (PBE).

a b c (Å): 4.7349 4.7349 4.7349
angles (deg): 60.00 60.00 60.00
With the nearest neighbours (Å) after each atom.
Positions (direct):
Li 0.0000 0.0000 0.0000  4 Lu 2.90, 4 Ir 2.90
Lu 0.5000 0.5000 0.5000  4 Ir 2.90, 4 Lu 2.90
Lu 0.7500 0.7500 0.7500  4 Li 2.90, 4 Lu 2.90
Ir 0.2500 0.2500 0.2500  4 Li 2.90, 4 Lu 2.90

Results
* magnetization: 0.000 μB/f.u.
* calculated total energy: -20.662 eV/f.u.
* E above lowest polymorph: 0.170 eV per atom


(3)
Entry from OQMD via LeMat-Bulk: a relaxed GdMgZn crystal (PBE).

a b c (Å): 4.6671 4.6671 12.1382
angles (deg): 90.00 90.00 120.00
With the nearest neighbours (Å) after each atom.
Positions (direct):
Gd 0.0000 0.0000 0.0000  6 Zn 2.77-3.10
Gd 0.0000 0.0000 0.3688  1 Zn 3.07, 3 Mg 3.12
Gd 0.6667 0.3333 0.1921  1 Zn 2.98
Mg 0.3333 0.6667 0.5926  3 Zn 2.72, 3 Mg 2.92
Mg 0.6667 0.3333 0.4992  4 Mg 2.91-2.92, 3 Zn 3.08, 3 Gd 3.12
Mg 0.6667 0.3333 0.7390  1 Zn 2.52
Zn 0.0000 0.0000 0.6220  3 Mg 2.72
Zn 0.3333 0.6667 0.8743  3 Zn 2.83, 3 Gd 3.10, 3 Mg 3.16
Zn 0.6667 0.3333 0.9464  1 Mg 2.52, 3 Gd 2.77

Results
* magnetization: 0.040 μB/f.u.
* calculated total energy: -7.144 eV/f.u.


(4)
Entry from OQMD via LeMat-Bulk: a relaxed Nd4Si3Pt crystal (PBE).

a b c (Å): 5.9580 4.0388 8.1403
angles (deg): 90.00 90.61 90.00
With the nearest neighbours (Å) after each atom.
Positions (direct):
Nd 0.0000 0.0000 0.0000  2 Pt 3.01, 5 Si 3.12-3.29
Nd 0.2334 0.5000 0.6553  5 Si 3.07-3.23, 2 Pt 3.15-3.24
Nd 0.5054 0.5000 0.1532  6 Si 3.06-3.23, 1 Pt 3.24
Nd 0.7403 0.0000 0.5232  2 Pt 3.01, 5 Si 3.16-3.25
Si 0.0016 0.5000 0.2950  2 Si 2.53
Si 0.2393 0.0000 0.3665  2 Si 2.53
Si 0.4905 0.0000 0.8706  2 Pt 2.59
Pt 0.7436 0.5000 0.7975  2 Si 2.59

Results
* magnetization: 0.004 μB/f.u.
* calculated total energy: -47.981 eV/f.u.


(5)
Entry from OQMD via LeMat-Bulk: a relaxed NaScAgSe3 crystal (PBE).

a b c (Å): 7.3433 7.3433 10.3782
angles (deg): 90.00 90.00 149.77
With the nearest neighbours (Å) after each atom.
Positions (direct):
Na 0.2402 0.7598 0.7500  6 Se 3.10-3.26, 2 Ag 3.44
Na 0.7598 0.2402 0.2500  6 Se 3.10-3.26, 2 Ag 3.44
Sc 0.0000 0.0000 0.0000  6 Se 2.74-2.88
Sc 0.0000 0.0000 0.5000  6 Se 2.74-2.88
Ag 0.4615 0.5385 0.2500  4 Se 2.56-2.62
Ag 0.5385 0.4615 0.7500  4 Se 2.56-2.62
Se 0.0877 0.9123 0.2500  2 Ag 2.62, 2 Sc 2.88
Se 0.3655 0.6345 0.0413  1 Ag 2.56, 2 Sc 2.74
Se 0.3655 0.6345 0.4587  1 Ag 2.56, 2 Sc 2.74
Se 0.6345 0.3655 0.5413  1 Ag 2.56, 2 Sc 2.74
Se 0.6345 0.3655 0.9587  1 Ag 2.56, 2 Sc 2.74
Se 0.9123 0.0877 0.7500  2 Ag 2.62, 2 Sc 2.88

Results
* magnetization: 0.007 μB/f.u.
* calculated total energy: -26.632 eV/f.u.


(6)
Entry from OQMD via LeMat-Bulk: a relaxed LuSiPt2 crystal (PBE).

a b c (Å): 7.2000 6.9755 5.4547
angles (deg): 90.00 90.00 90.00
With the nearest neighbours (Å) after each atom.
Positions (direct):
Lu 0.0260 0.2500 0.1352  3 Si 2.91-2.95, 8 Pt 2.97-3.08
Lu 0.4740 0.7500 0.6352  3 Si 2.91-2.95, 8 Pt 2.97-3.08
Lu 0.5260 0.2500 0.3648  3 Si 2.91-2.95, 8 Pt 2.97-3.08
Lu 0.9740 0.7500 0.8648  3 Si 2.91-2.95, 8 Pt 2.97-3.08
Si 0.1179 0.7500 0.3661  6 Pt 2.47-2.60
Si 0.3821 0.2500 0.8661  6 Pt 2.47-2.60
Si 0.6179 0.7500 0.1339  6 Pt 2.47-2.60
Si 0.8821 0.2500 0.6339  6 Pt 2.47-2.60
Pt 0.1842 0.0500 0.5905  3 Si 2.47-2.60
Pt 0.1842 0.4500 0.5905  3 Si 2.47-2.60
Pt 0.3158 0.5500 0.0905  3 Si 2.47-2.60
Pt 0.3158 0.9500 0.0905  3 Si 2.47-2.60
Pt 0.6842 0.0500 0.9095  3 Si 2.47-2.60
Pt 0.6842 0.4500 0.9095  3 Si 2.47-2.60
Pt 0.8158 0.5500 0.4095  3 Si 2.47-2.60
Pt 0.8158 0.9500 0.4095  3 Si 2.47-2.60

Results
* magnetization: 0.000 μB/f.u.
* calculated total energy: -26.808 eV/f.u.


(7)
Entry from OQMD via LeMat-Bulk: a relaxed CsHfCo crystal (PBE).

a b c (Å): 4.7418 4.7418 4.7418
angles (deg): 60.00 60.00 60.00
With the nearest neighbours (Å) after each atom.
Positions (direct):
Cs 0.0000 0.0000 0.0000  4 Hf 2.90
Hf 0.7500 0.7500 0.7500  4 Co 2.90, 4 Cs 2.90
Co 0.5000 0.5000 0.5000  4 Hf 2.90

Results
* magnetization: 0.002 μB/f.u.
* calculated total energy: -12.704 eV/f.u.


(8)
Entry from OQMD via LeMat-Bulk: a relaxed BaLiPuTe3 crystal (PBE).

a b c (Å): 7.8222 7.8222 11.6226
angles (deg): 90.00 90.00 145.77
With the nearest neighbours (Å) after each atom.
Positions (direct):
Ba 0.2500 0.7500 0.7500  6 Te 3.50-3.62
Ba 0.7500 0.2500 0.2500  6 Te 3.50-3.62
Li 0.0275 0.9725 0.2500  4 Te 2.75-2.76
Li 0.9725 0.0275 0.7500  4 Te 2.75-2.76
Pu 0.5000 0.5000 0.0000  6 Te 3.11-3.16
Pu 0.5000 0.5000 0.5000  6 Te 3.11-3.16
Te 0.1369 0.8631 0.0591  1 Li 2.76
Te 0.1369 0.8631 0.4409  1 Li 2.76
Te 0.4266 0.5734 0.2500  2 Li 2.75
Te 0.5734 0.4266 0.7500  2 Li 2.75
Te 0.8631 0.1369 0.5591  1 Li 2.76
Te 0.8631 0.1369 0.9409  1 Li 2.76

Results
* magnetization: 4.993 μB/f.u.
* calculated total energy: -35.277 eV/f.u.